Record 1
# Sc2Fe3Si4 | Alexandria | PBE-GGA | optimized geometry
# Raw formation energy (eV per atom): -0.627
# Total magnetic moment (μB/f.u.): 0.63
data_Sc2Fe3Si4
_chemical_formula_sum 'Sc4 Fe6 Si8'
_space_group_name_H-M_alt 'P 1 21/c 1'
_space_group_IT_number 14
_cell_length_a 6.188
_cell_length_b 6.417
_cell_length_c 6.478
_cell_angle_alpha 90.00
_cell_angle_beta 109.59
_cell_angle_gamma 90.00
loop_
_space_group_symop_operation_xyz
'x,y,z'
'-x,-y,-z'
'-x,y+1/2,-z+1/2'
'x,-y+1/2,z+1/2'
loop_
_atom_site_label
_atom_site_type_symbol
_atom_site_fract_x
_atom_site_fract_y
_atom_site_fract_z
_atom_site_occupancy
Sc1 Sc 0.188 0.178 0.051 1
Fe1 Fe 0.238 0.612 0.260 1
Fe2 Fe 0.500 0.000 0.500 1
Si1 Si 0.113 0.569 0.873 1
Si2 Si 0.466 0.654 0.627 1

---

Record 2
# YSn5 | Alexandria | PBE-GGA | optimized geometry
# DFT formation energy (meV per atom): -251
# Energy above the lowest structure with this stoichiometry (meV/atom): 0
# Total magnetic moment (μB/f.u.): 0.00
data_YSn5
_chemical_formula_sum 'Y2 Sn10'
_space_group_name_H-M_alt 'P m m n'
_space_group_IT_number 59
_cell_length_a 4.291
_cell_length_b 11.316
_cell_length_c 6.599
_cell_angle_alpha 90.00
_cell_angle_beta 90.00
_cell_angle_gamma 90.00
loop_
_space_group_symop_operation_xyz
'x,y,z'
'-x,-y,-z'
'-x+1/2,-y+1/2,z'
'x+1/2,y+1/2,-z'
'x+1/2,-y,-z'
'-x+1/2,y,z'
'-x,y+1/2,-z'
'x,-y+1/2,z'
loop_
_atom_site_label
_atom_site_type_symbol
_atom_site_fract_x
_atom_site_fract_y
_atom_site_fract_z
_atom_site_occupancy
Y1 Y 0.250 0.250 0.099 1
Sn1 Sn 0.250 0.250 0.613 1
Sn2 Sn 0.250 0.568 0.139 1
Sn3 Sn 0.250 0.602 0.622 1

---

Record 3
# SrGdGeAu | Alexandria | PBE-GGA | optimized geometry
# DFT formation energy (meV per atom): -685
# Total magnetic moment (μB/f.u.): 6.91
data_SrGdGeAu
_chemical_formula_sum 'Sr4 Gd4 Ge4 Au4'
_space_group_name_H-M_alt 'F -4 3 m'
_space_group_IT_number 216
_space_group_name_Hall 'F -4 2 3'
_cell_length_a 7.459
_cell_length_b 7.459
_cell_length_c 7.459
_cell_angle_alpha 90.00
_cell_angle_beta 90.00
_cell_angle_gamma 90.00
loop_
_atom_site_label
_atom_site_type_symbol
_atom_site_fract_x
_atom_site_fract_y
_atom_site_fract_z
_atom_site_occupancy
Sr1 Sr 0.000 0.000 0.000 1
Gd1 Gd 0.000 0.000 0.500 1
Ge1 Ge 0.250 0.250 0.750 1
Au1 Au 0.250 0.250 0.250 1

---

Record 4
# K5Cu2F12 | Alexandria | PBE-GGA | optimized geometry
# Raw formation energy (eV per atom): -2.048
# Energy above the lowest structure with this stoichiometry (meV/atom): 0
# Total magnetic moment (μB/f.u.): 4.98
data_K5Cu2F12
_chemical_formula_sum 'K10 Cu4 F24'
_space_group_name_H-M_alt 'C 1 2/m 1'
_space_group_IT_number 12
_cell_length_a 12.277
_cell_length_b 8.701
_cell_length_c 7.686
_cell_angle_alpha 90.00
_cell_angle_beta 120.70
_cell_angle_gamma 90.00
loop_
_space_group_symop_operation_xyz
'x,y,z'
'-x,-y,-z'
'-x,y,-z'
'x,-y,z'
'x+1/2,y+1/2,z'
'-x+1/2,-y+1/2,-z'
'-x+1/2,y+1/2,-z'
'x+1/2,-y+1/2,z'
loop_
_atom_site_label
_atom_site_type_symbol
_atom_site_fract_x
_atom_site_fract_y
_atom_site_fract_z
_atom_site_occupancy
K1 K 0.000 0.000 0.000 1
K2 K 0.176 0.500 0.963 1
K3 K 0.221 0.500 0.501 1
Cu1 Cu 0.000 0.176 0.500 1
F1 F 0.055 0.500 0.146 1
F2 F 0.066 0.174 0.321 1
F3 F 0.115 0.000 0.658 1
F4 F 0.132 0.313 0.675 1

---

| no. | DFT total energy (eV per atom) |
| --- | --- |
| 1 | -7.265 |
| 2 | -4.664 |
| 3 | -6.600 |
| 4 | -3.949 |